(1)
{"formula": "BaScAs", "functional": "PBE-GGA", "state": "optimized geometry", "lattice": [[-0.039, 3.365, -2.807], [-4.259, -0.691, -0.769], [-2.476, 6.519, 7.849]], "species": ["Ba", "Ba", "As", "As", "Sc", "Sc"], "frac_coords": [[0.000, 0.500, 0.808], [0.500, 0.000, 0.192], [0.000, 0.500, 0.336], [0.500, 0.000, 0.664], [0.500, 0.500, 0.500], [0.000, 0.000, 0.500]], "polymorph_energy_mev_per_atom": 0, "delta_e_f_mev_per_atom": -931, "dos_ef_per_ev_cell": 6.86, "total_magnetization_mub_per_fu": 0.00}

(2)
{"formula": "BaScAs", "functional": "PBE-GGA", "state": "optimized geometry", "lattice": [[4.286, 0.000, 0.000], [-2.143, 3.711, 0.000], [0.000, 0.000, 6.647]], "species": ["As", "Ba", "Sc"], "frac_coords": [[0.000, 0.000, 0.935], [0.667, 0.333, 0.278], [0.333, 0.667, 0.787]], "polymorph_energy_mev_per_atom": 263, "delta_e_f_mev_per_atom": -668, "dos_ef_per_ev_cell": 3.18, "total_magnetization_mub_per_fu": 0.40}

(3)
{"formula": "BaScAs", "functional": "PBE-GGA", "state": "optimized geometry", "lattice": [[-4.665, 1.213, -2.113], [-1.052, -1.313, -4.987], [-3.486, -3.803, -1.041]], "species": ["As", "Ba", "Sc"], "frac_coords": [[0.500, 0.500, 0.500], [0.750, 0.750, 0.750], [0.000, 0.000, 0.000]], "polymorph_energy_mev_per_atom": 1328, "delta_e_f_mev_per_atom": 397, "dos_ef_per_ev_cell": 5.71, "total_magnetization_mub_per_fu": 1.64}

(4)
{"formula": "BaSc2As2", "functional": "PBE-GGA", "state": "optimized geometry", "lattice": [[-3.252, -1.669, 7.323], [-2.488, -7.290, -2.767], [3.146, -1.476, 1.061]], "species": ["Sc", "Sc", "Sc", "Sc", "As", "As", "As", "As", "Ba", "Ba"], "frac_coords": [[0.137, 0.637, 0.500], [0.637, 0.863, 0.500], [0.863, 0.363, 0.500], [0.363, 0.137, 0.500], [0.358, 0.858, 0.000], [0.858, 0.642, 0.000], [0.642, 0.142, 0.000], [0.142, 0.358, 0.000], [0.000, 0.000, 0.000], [0.500, 0.500, 0.000]], "polymorph_energy_mev_per_atom": 308, "delta_e_f_mev_per_atom": -766, "dos_ef_per_ev_cell": 7.36, "total_magnetization_mub_per_fu": 0.92}

(5)
{"formula": "BaSc3As", "functional": "PBE-GGA", "state": "optimized geometry", "lattice": [[5.315, 0.000, 0.000], [0.000, 5.315, 0.000], [0.000, 0.000, 5.315]], "species": ["Sc", "Sc", "Sc", "As", "Ba"], "frac_coords": [[0.000, 0.500, 0.000], [0.000, 0.000, 0.500], [0.500, 0.000, 0.000], [0.000, 0.000, 0.000], [0.500, 0.500, 0.500]], "polymorph_energy_mev_per_atom": 0, "delta_e_f_mev_per_atom": -178, "dos_ef_per_ev_cell": 6.49, "total_magnetization_mub_per_fu": 2.51}

(6)
{"formula": "BaScAsSe2", "functional": "PBE-GGA", "state": "optimized geometry", "lattice": [[-1.189, -0.275, -5.655], [-0.356, -5.763, 0.355], [-5.480, 0.408, 1.132]], "species": ["Sc", "As", "Ba", "Se", "Se"], "frac_coords": [[0.500, 0.500, 0.500], [0.000, 0.000, 0.500], [0.000, 0.000, 0.000], [0.000, 0.500, 0.000], [0.500, 0.000, 0.000]], "polymorph_energy_mev_per_atom": 1615, "formation_energy_uncorrected_mev_per_atom": 406, "dos_ef_per_ev_cell": 3.71, "total_magnetization_mub_per_fu": 0.00}

What did the fourth record say?
{"formula": "BaSc2As2", "functional": "PBE-GGA", "state": "optimized geometry", "lattice": [[-3.252, -1.669, 7.323], [-2.488, -7.290, -2.767], [3.146, -1.476, 1.061]], "species": ["Sc", "Sc", "Sc", "Sc", "As", "As", "As", "As", "Ba", "Ba"], "frac_coords": [[0.137, 0.637, 0.500], [0.637, 0.863, 0.500], [0.863, 0.363, 0.500], [0.363, 0.137, 0.500], [0.358, 0.858, 0.000], [0.858, 0.642, 0.000], [0.642, 0.142, 0.000], [0.142, 0.358, 0.000], [0.000, 0.000, 0.000], [0.500, 0.500, 0.000]], "polymorph_energy_mev_per_atom": 308, "delta_e_f_mev_per_atom": -766, "dos_ef_per_ev_cell": 7.36, "total_magnetization_mub_per_fu": 0.92}

Which formula does entry 3 have?
BaScAs